Tb6ErCd2 PBE relaxed; total energy = -3.93 eV per atom; total moment = 0.00 μB/cell; space group = C2/m, No. 12
1.0
-0.266 3.738 -0.052
-5.274 1.554 3.609
4.299 2.332 10.588
Tb Er Cd
6 1 2
Direct
0.685 0.507 0.123 Tb
0.315 0.493 0.877 Tb
0.312 0.791 0.585 Tb
0.984 0.694 0.339 Tb
0.016 0.306 0.661 Tb
0.688 0.209 0.415 Tb
0.000 0.000 0.000 Er
0.355 0.084 0.205 Cd
0.645 0.916 0.795 Cd

=====

Tb2Er7Cd2 PBE relaxed; total energy = -3.87 eV per atom; total moment = 0.00 μB/cell; space group = C2/m, No. 12
1.0
-2.069 -2.233 7.350
5.622 1.120 3.166
-2.617 5.584 2.203
Tb Er Cd
2 7 2
Direct
0.500 0.179 0.821 Tb
0.500 0.821 0.179 Tb
0.174 0.116 0.522 Er
0.826 0.478 0.884 Er
0.826 0.884 0.478 Er
0.174 0.522 0.116 Er
0.000 0.000 0.000 Er
0.465 0.693 0.693 Er
0.535 0.307 0.307 Er
0.857 0.398 0.398 Cd
0.143 0.602 0.602 Cd

=====

Tb4ErCd5 PBE relaxed; total energy = -3.08 eV per atom; total moment = 0.25 μB/cell; space group = P4/mmm, No. 123
1.0
3.747 0.000 0.000
0.000 3.747 0.000
0.000 0.000 18.784
Tb Er Cd
4 1 5
Direct
0.000 0.000 0.199 Tb
0.000 0.000 0.399 Tb
0.000 0.000 0.601 Tb
0.000 0.000 0.801 Tb
0.000 0.000 0.000 Er
0.500 0.500 0.097 Cd
0.500 0.500 0.299 Cd
0.500 0.500 0.500 Cd
0.500 0.500 0.701 Cd
0.500 0.500 0.903 Cd

=====

TbEr3Cd2 PBE relaxed; total energy = -3.55 eV per atom; total moment = 0.00 μB/cell; space group = P4/mmm, No. 123
1.0
-1.035 1.578 -3.060
-1.269 -3.145 -1.193
-11.432 2.633 5.225
Tb Er Cd
1 3 2
Direct
0.500 0.500 0.500 Tb
0.000 0.000 0.000 Er
0.000 0.000 0.692 Er
0.000 0.000 0.308 Er
0.500 0.500 0.848 Cd
0.500 0.500 0.152 Cd

=====

Tb4Er5Cd PBE relaxed; total energy = -4.09 eV per atom; total moment = 0.00 μB/cell; space group = I4mm, No. 107
1.0
-4.449 1.963 -2.924
-6.809 -1.313 3.974
-1.527 7.606 1.923
Tb Er Cd
4 5 1
Direct
0.462 0.320 0.680 Tb
0.783 0.680 0.680 Tb
0.142 0.320 0.320 Tb
0.463 0.680 0.320 Tb
0.770 0.369 0.000 Er
0.139 0.000 0.631 Er
0.770 0.000 0.369 Er
0.139 0.631 0.000 Er
0.661 0.000 0.000 Er
0.180 0.000 0.000 Cd

=====

Tb3Er3Cd2 PBE relaxed; total energy = -3.73 eV per atom; total moment = 0.00 μB/cell; space group = Cmcm, No. 63
1.0
-2.678 -0.371 4.438
-1.337 -4.545 -4.229
11.319 -8.986 6.078
Tb Er Cd
6 6 4
Direct
0.959 0.918 0.395 Tb
0.041 0.082 0.895 Tb
0.959 0.918 0.105 Tb
0.041 0.082 0.605 Tb
0.736 0.472 0.250 Tb
0.264 0.528 0.750 Tb
0.644 0.289 0.466 Er
0.356 0.711 0.966 Er
0.644 0.289 0.034 Er
0.356 0.711 0.534 Er
0.454 0.908 0.250 Er
0.546 0.092 0.750 Er
0.770 0.539 0.864 Cd
0.230 0.461 0.364 Cd
0.770 0.539 0.636 Cd
0.230 0.461 0.136 Cd

=====

Tb5Er4Cd PBE relaxed; total energy = -4.28 eV per atom; total moment = 0.00 μB/cell; space group = P4/mmm, No. 123
1.0
3.547 0.000 0.000
0.000 3.547 0.000
0.000 0.000 24.093
Tb Er Cd
5 4 1
Direct
0.500 0.500 0.087 Tb
0.500 0.500 0.293 Tb
0.500 0.500 0.500 Tb
0.500 0.500 0.707 Tb
0.500 0.500 0.913 Tb
0.000 0.000 0.190 Er
0.000 0.000 0.397 Er
0.000 0.000 0.603 Er
0.000 0.000 0.810 Er
0.000 0.000 0.000 Cd

=====

Tb6ErCd5 PBE relaxed; total energy = -3.30 eV per atom; total moment = 0.00 μB/cell; space group = Immm, No. 71
1.0
5.052 0.021 -1.474
-1.068 6.842 -3.563
-0.039 0.389 9.269
Cd Tb Er
5 6 1
Direct
0.653 0.153 0.306 Cd
0.331 0.331 0.662 Cd
0.000 0.500 0.000 Cd
0.669 0.669 0.338 Cd
0.347 0.847 0.694 Cd
0.829 0.574 0.659 Tb
0.829 0.085 0.659 Tb
0.500 0.732 0.000 Tb
0.500 0.268 0.000 Tb
0.171 0.915 0.341 Tb
0.171 0.426 0.341 Tb
0.000 0.000 0.000 Er